1.
Material: In2TcIr
Method: DFT, PBE
State: relaxed

formation enthalpy at 0 K	656	meV per atom
electronic total energy	-5.5203	eV per atom

Lattice parameters (Å, degrees): 5.9854 5.9854 5.9854 103.25 103.25 122.78
Sites, in units of the cell vectors:
In1 0.1129 0.6250 0.9879
In2 0.3750 0.3629 0.4879
In3 0.6371 0.1250 0.0121
In4 0.8750 0.8871 0.5121
Tc1 0.2500 0.7500 0.5000
Tc2 0.5000 0.5000 0.0000
Ir1 0.0000 0.0000 0.0000
Ir2 0.7500 0.2500 0.5000



2.
Material: YHgAu2
Method: DFT, PBE
State: relaxed

formation enthalpy at 0 K	-540	meV per atom
electronic total energy	-3.8700	eV per atom

Lattice parameters (Å, degrees): 3.6619 3.6619 6.5972 90.00 90.00 90.00
Sites, in units of the cell vectors:
Y1 0.0000 0.0000 0.0000
Hg1 0.0000 0.0000 0.5000
Au1 0.5000 0.5000 0.2452
Au2 0.5000 0.5000 0.7548



3.
Material: K2SmScS4
Method: DFT, PBE
State: relaxed

raw formation energy	-1.79	eV/atom
electronic total energy	-5.5106	eV per atom

Lattice parameters (Å, degrees): 6.9229 4.0008 7.7006 90.00 107.42 90.00
Sites, in units of the cell vectors:
K1 0.0000 0.0000 0.0000
K2 0.5000 0.5000 0.0000
Sm1 0.0000 0.5000 0.5000
Sc1 0.5000 0.0000 0.5000
S1 0.2504 0.0000 0.7019
S2 0.2832 0.5000 0.3049
S3 0.7168 0.5000 0.6951
S4 0.7496 0.0000 0.2981



4.
Material: Na2Al3As9O28
Method: DFT, PBE
State: relaxed

raw formation energy	-1.55	eV/atom
electronic total energy	-6.1868	eV per atom

Lattice parameters (Å, degrees): 7.6098 9.0999 9.6536 110.26 111.59 100.64
Sites, in units of the cell vectors:
Na1 0.2129 0.4634 0.2234
Na2 0.7871 0.5366 0.7766
Al1 0.0000 0.0000 0.0000
Al2 0.2571 0.5037 0.7550
Al3 0.7429 0.4963 0.2450
As1 0.1780 0.1969 0.4121
As2 0.1924 0.7422 0.5640
As3 0.2957 0.2532 0.9282
As4 0.3313 0.8168 0.0920
As5 0.5000 0.0000 0.5000
As6 0.6687 0.1832 0.9080
As7 0.7043 0.7468 0.0718
As8 0.8076 0.2578 0.4360
As9 0.8220 0.8031 0.5879
O1 0.0437 0.5761 0.3728
O2 0.0634 0.8838 0.5994
O3 0.0836 0.1551 0.9279
O4 0.1401 0.1903 0.2262
O5 0.2121 0.6101 0.9501
O6 0.2265 0.3047 0.7698
O7 0.2409 0.9576 0.0480
O8 0.2642 0.0462 0.4595
O9 0.2733 0.7001 0.7277
O10 0.2957 0.4000 0.5593
O11 0.3638 0.8154 0.2828
O12 0.4182 0.8518 0.5765
O13 0.4215 0.1096 0.8837
O14 0.4549 0.4173 0.1209
O15 0.5451 0.5827 0.8791
O16 0.5785 0.8904 0.1163
O17 0.5818 0.1482 0.4235
O18 0.6362 0.1846 0.7172
O19 0.7043 0.6000 0.4407
O20 0.7267 0.2999 0.2723
O21 0.7358 0.9538 0.5405
O22 0.7591 0.0424 0.9520
O23 0.7735 0.6953 0.2302
O24 0.7879 0.3899 0.0499
O25 0.8599 0.8097 0.7738
O26 0.9164 0.8449 0.0721
O27 0.9366 0.1162 0.4006
O28 0.9563 0.4239 0.6272



Values for N(E_F), states/eV per atom, ordered as above
0.543 0.424 0.000 0.000